Y4Be5: optimized geometry, PBEsol.

Unit cell a=9.915 b=9.915 c=3.799 alpha=90.00 beta=90.00 gamma=90.00
Space group I4/mmm (No. 139)
Symmetry-distinct sites (fractional):
1 Y 0.000 0.286 0.000 [8 per cell]
2 Be 0.000 0.000 0.000 [2 per cell]
3 Be 0.216 0.216 0.500 [8 per cell]

Calculated values
For the total energy, the calculation gives -4.86 eV per atom. For the total magnetic moment, the calculation gives 0.000 μB/atom. For the formation energy, the calculation gives 3.519 eV per formula unit. Its volume is 373.5 Å³ per cell.